P) NdSm2Al2 | Alexandria via LeMat-Bulk | PBE-GGA | relaxed; crystal system = monoclinic; theoretical density = 6.101 g/cm3; V = 27.158 Å³/atom
1.0
3.7562 0.0000 0.0000
0.0000 5.2712 0.0000
-1.8844 0.0000 13.7166
Nd Sm Al
2 4 4
direct
0.1414 0.2500 0.2856
0.8586 0.7500 0.7144
0.0470 0.7500 0.0944
0.2326 0.7500 0.4653
0.7674 0.2500 0.5347
0.9530 0.2500 0.9056
0.3593 0.2500 0.7174
0.4526 0.7500 0.9049
0.5474 0.2500 0.0951
0.6407 0.7500 0.2826

***

Q) NdSm2Al2 | Alexandria via LeMat-Bulk | PBE-GGA | relaxed; crystal system = orthorhombic; theoretical density = 5.602 g/cm3; V = 29.580 Å³/atom
1.0
3.2281 -8.1446 0.0000
3.2281 8.1446 0.0000
0.0000 0.0000 5.6252
Nd Sm Al
2 4 4
direct
0.0000 0.0000 0.0000
0.0000 0.0000 0.5000
0.1996 0.8004 0.7500
0.4166 0.5834 0.2500
0.5834 0.4166 0.7500
0.8004 0.1996 0.2500
0.1490 0.4136 0.7500
0.4136 0.1490 0.2500
0.5864 0.8510 0.7500
0.8510 0.5864 0.2500

***

The data favor P); the next most stable structure lies 23.0 kJ/mol of atoms above it.

***

P) NdSm4Al2 | Alexandria via LeMat-Bulk | PBE-GGA | relaxed; crystal system = tetragonal; theoretical density = 6.212 g/cm3; V = 30.536 Å³/atom
1.0
-2.8978 2.8978 6.3636
2.8978 -2.8978 6.3636
2.8978 2.8978 -6.3636
Nd Sm Al
1 4 2
direct
0.0000 0.0000 0.0000
0.0000 0.5000 0.5000
0.2500 0.7500 0.5000
0.5000 0.0000 0.5000
0.7500 0.2500 0.5000
0.3871 0.3871 0.0000
0.6129 0.6129 0.0000

***

Q) NdSm4Al2 | Alexandria via LeMat-Bulk | PBE-GGA | relaxed; crystal system = trigonal; theoretical density = 6.544 g/cm3; V = 28.987 Å³/atom
1.0
2.6997 1.5587 8.0367
-2.6997 1.5587 8.0367
0.0000 -3.1173 8.0367
Nd Sm Al
1 4 2
direct
0.0000 0.0000 0.0000
0.1535 0.1535 0.1535
0.4157 0.4157 0.4157
0.5843 0.5843 0.5843
0.8465 0.8465 0.8465
0.2810 0.2810 0.2810
0.7190 0.7190 0.7190

***

The data favor Q); the next most stable structure lies 38.4 kJ/mol of atoms above it.

***

P) NdSmAlTl | Alexandria via LeMat-Bulk | PBE-GGA | relaxed; crystal system = cubic; theoretical density = 7.933 g/cm3; V = 27.523 Å³/atom
1.0
0.0000 3.8040 3.8040
3.8040 0.0000 3.8040
3.8040 3.8040 0.0000
Nd Sm Al Tl
1 1 1 1
direct
0.0000 0.0000 0.0000
0.5000 0.5000 0.5000
0.7500 0.7500 0.7500
0.2500 0.2500 0.2500

***

Q) NdSmAlTl | Alexandria via LeMat-Bulk | PBE-GGA | relaxed; crystal system = tetragonal; theoretical density = 7.943 g/cm3; V = 27.490 Å³/atom
1.0
3.7570 0.0000 0.0000
0.0000 3.7570 0.0000
0.0000 0.0000 7.7903
Nd Sm Al Tl
1 1 1 1
direct
0.0000 0.0000 0.0000
0.0000 0.0000 0.4729
0.5000 0.5000 0.2406
0.5000 0.5000 0.7314

***

The data favor Q); the next most stable structure lies 2.0 kJ/mol of atoms above it.

***

P) NdSmTmAl | Alexandria via LeMat-Bulk | PBE-GGA | relaxed; crystal system = cubic; theoretical density = 7.253 g/cm3; V = 28.076 Å³/atom
1.0
0.0000 3.8293 3.8293
3.8293 0.0000 3.8293
3.8293 3.8293 0.0000
Nd Sm Tm Al
1 1 1 1
direct
0.0000 0.0000 0.0000
0.5000 0.5000 0.5000
0.7500 0.7500 0.7500
0.2500 0.2500 0.2500

***

Q) NdSmTmAl | Alexandria via LeMat-Bulk | PBE-GGA | relaxed; crystal system = tetragonal; theoretical density = 7.078 g/cm3; V = 28.769 Å³/atom
1.0
3.5360 0.0000 0.0000
0.0000 3.5360 0.0000
0.0000 0.0000 9.2039
Nd Sm Tm Al
1 1 1 1
direct
0.0000 0.0000 0.0000
0.5000 0.5000 0.6997
0.5000 0.5000 0.2812
0.0000 0.0000 0.4826

***

The data favor Q); the next most stable structure lies 10.6 kJ/mol of atoms above it.

***

P) Nd4AlSn | Alexandria via LeMat-Bulk | PBE-GGA | relaxed; crystal system = orthorhombic; theoretical density = 6.013 g/cm3; V = 33.263 Å³/atom
1.0
2.8935 -10.6596 0.0000
2.8935 10.6596 0.0000
0.0000 0.0000 6.4708
Nd Al Sn
8 2 2
direct
0.0609 0.9391 0.7500
0.2063 0.7937 0.5019
0.2063 0.7937 0.9981
0.3911 0.6089 0.7500
0.6089 0.3911 0.2500
0.7937 0.2063 0.0019
0.7937 0.2063 0.4981
0.9391 0.0609 0.2500
0.0795 0.9205 0.2500
0.9205 0.0795 0.7500
0.3470 0.6530 0.2500
0.6530 0.3470 0.7500

***

Q) Nd4AlSn | Alexandria via LeMat-Bulk | PBE-GGA | relaxed; crystal system = tetragonal; theoretical density = 5.825 g/cm3; V = 34.333 Å³/atom
1.0
5.2651 0.0000 0.0000
0.0000 5.2651 0.0000
0.0000 0.0000 7.4312
Nd Al Sn
4 1 1
direct
0.0000 0.5000 0.2374
0.0000 0.5000 0.7626
0.5000 0.0000 0.2374
0.5000 0.0000 0.7626
0.0000 0.0000 0.0000
0.5000 0.5000 0.5000

***

The data favor Q); the next most stable structure lies 2.5 kJ/mol of atoms above it.

***

P) SrNdAl2 | Alexandria via LeMat-Bulk | PBE-GGA | relaxed; crystal system = tetragonal; theoretical density = 4.215 g/cm3; V = 28.149 Å³/atom
1.0
3.7959 0.0000 0.0000
0.0000 3.7959 0.0000
0.0000 0.0000 7.8145
Sr Nd Al
1 1 2
direct
0.0000 0.0000 0.0000
0.0000 0.0000 0.5000
0.5000 0.5000 0.2707
0.5000 0.5000 0.7293

***

Q) SrNdAl2 | Alexandria via LeMat-Bulk | PBE-GGA | relaxed; crystal system = cubic; theoretical density = 4.242 g/cm3; V = 27.974 Å³/atom
1.0
0.0000 3.8247 3.8247
3.8247 0.0000 3.8247
3.8247 3.8247 0.0000
Sr Nd Al
1 1 2
direct
0.0000 0.0000 0.0000
0.5000 0.5000 0.5000
0.2500 0.2500 0.2500
0.7500 0.7500 0.7500

***

The data favor P); the next most stable structure lies 4.1 kJ/mol of atoms above it.

***

P) Tb3NdAl8 | Alexandria via LeMat-Bulk | PBE-GGA | relaxed; crystal system = trigonal; theoretical density = 5.577 g/cm3; V = 20.764 Å³/atom
1.0
2.7985 1.6157 9.1842
-2.7985 1.6157 9.1842
0.0000 -3.2315 9.1842
Tb Nd Al
3 1 8
direct
0.0000 0.0000 0.0000
0.1242 0.1242 0.1242
0.4996 0.4996 0.4996
0.6246 0.6246 0.6246
0.0615 0.0615 0.5609
0.0615 0.5609 0.0615
0.0635 0.5625 0.5625
0.3124 0.3124 0.3124
0.5609 0.0615 0.0615
0.5625 0.0635 0.5625
0.5625 0.5625 0.0635
0.8119 0.8119 0.8119

***

Q) Tb3NdAl8 | Alexandria via LeMat-Bulk | PBE-GGA | relaxed; crystal system = trigonal; theoretical density = 5.571 g/cm3; V = 20.786 Å³/atom
1.0
5.5934 0.0000 0.0000
-2.7967 4.8440 0.0000
0.0000 0.0000 9.2063
Tb Nd Al
3 1 8
direct
0.0000 0.0000 0.0000
0.0000 0.0000 0.3637
0.3333 0.6667 0.8649
0.3333 0.6667 0.5009
0.0088 0.5044 0.1807
0.3243 0.1621 0.6856
0.4956 0.5044 0.1807
0.4956 0.9912 0.1807
0.6667 0.3333 0.4316
0.6667 0.3333 0.9340
0.8379 0.1621 0.6856
0.8379 0.6757 0.6856

***

The data favor P); the next most stable structure lies 0.8 kJ/mol of atoms above it.

***

P) TbNd5Al2 | Alexandria via LeMat-Bulk | PBE-GGA | relaxed; crystal system = orthorhombic; theoretical density = 6.391 g/cm3; V = 30.338 Å³/atom
1.0
-1.8373 5.3699 6.1498
1.8373 -5.3699 6.1498
1.8373 5.3699 -6.1498
Tb Nd Al
1 5 2
direct
0.0000 0.0000 0.0000
0.1405 0.3580 0.7826
0.4246 0.6420 0.7826
0.5000 0.0000 0.5000
0.5754 0.3580 0.2174
0.8595 0.6420 0.2174
0.2214 0.7214 0.5000
0.7786 0.2786 0.5000

***

Q) TbNd5Al2 | Alexandria via LeMat-Bulk | PBE-GGA | relaxed; crystal system = hexagonal; theoretical density = 6.023 g/cm3; V = 32.194 Å³/atom
1.0
5.4397 0.0000 0.0000
-2.7199 4.7109 0.0000
0.0000 0.0000 20.1006
Tb Nd Al
2 10 4
direct
0.3333 0.6667 0.2500
0.6667 0.3333 0.7500
0.0000 0.0000 0.1551
0.0000 0.0000 0.3449
0.0000 0.0000 0.6551
0.0000 0.0000 0.8449
0.3333 0.6667 0.5554
0.3333 0.6667 0.7500
0.3333 0.6667 0.9446
0.6667 0.3333 0.0554
0.6667 0.3333 0.2500
0.6667 0.3333 0.4446
0.3333 0.6667 0.1009
0.3333 0.6667 0.3991
0.6667 0.3333 0.6009
0.6667 0.3333 0.8991

***

The data favor P); the next most stable structure lies 3.4 kJ/mol of atoms above it.